## a
{"formula": "Ba2NaMgAg", "functional": "PBE", "state": "optimized geometry", "vol_a3_per_cell": 231, "lattice_angstrom": [[6.4495, 0.0000, 0.0000], [0.0000, 6.4495, 0.0000], [0.0000, 0.0000, 5.5501]], "species": ["Ba", "Ba", "Na", "Mg", "Ag"], "fractional_positions": [[0.0000, 0.5000, 0.0000], [0.5000, 0.0000, 0.0000], [0.0000, 0.0000, 0.5000], [0.5000, 0.5000, 0.5000], [0.0000, 0.0000, 0.0000]]}



## b
{"formula": "Ba2NaMgAg", "functional": "PBE", "state": "optimized geometry", "vol_a3_per_cell": 227, "lattice_angstrom": [[6.5084, 0.0000, 0.0000], [0.0000, 6.5084, 0.0000], [0.0000, 0.0000, 5.3518]], "species": ["Ba", "Ba", "Na", "Mg", "Ag"], "fractional_positions": [[0.0000, 0.5000, 0.0000], [0.5000, 0.0000, 0.0000], [0.0000, 0.0000, 0.5000], [0.5000, 0.5000, 0.5000], [0.5000, 0.5000, 0.0000]]}



The data favor b; the next most stable structure lies 9.2 kJ/mol of atoms above it.



## a
{"formula": "Ba2MgAgRh", "functional": "PBE", "state": "optimized geometry", "vol_a3_per_cell": 180, "lattice_angstrom": [[5.9809, 0.0000, 0.0000], [0.0000, 5.9809, 0.0000], [0.0000, 0.0000, 5.0351]], "species": ["Ba", "Ba", "Mg", "Ag", "Rh"], "fractional_positions": [[0.0000, 0.5000, 0.0000], [0.5000, 0.0000, 0.0000], [0.0000, 0.0000, 0.5000], [0.5000, 0.5000, 0.5000], [0.0000, 0.0000, 0.0000]]}



## b
{"formula": "Ba2MgAgRh", "functional": "PBE", "state": "optimized geometry", "vol_a3_per_cell": 183, "lattice_angstrom": [[5.8822, 0.0000, 0.0000], [0.0000, 5.8822, 0.0000], [0.0000, 0.0000, 5.2972]], "species": ["Ba", "Ba", "Mg", "Ag", "Rh"], "fractional_positions": [[0.0000, 0.5000, 0.0000], [0.5000, 0.0000, 0.0000], [0.0000, 0.0000, 0.5000], [0.5000, 0.5000, 0.5000], [0.5000, 0.5000, 0.0000]]}



The data favor a; the next most stable structure lies 18.7 kJ/mol of atoms above it.



## a
{"formula": "Ba2SrMgAg", "functional": "PBE", "state": "optimized geometry", "vol_a3_per_cell": 254, "lattice_angstrom": [[6.4160, 0.0000, 0.0000], [0.0000, 6.4160, 0.0000], [0.0000, 0.0000, 6.1735]], "species": ["Ba", "Ba", "Sr", "Mg", "Ag"], "fractional_positions": [[0.0000, 0.5000, 0.0000], [0.5000, 0.0000, 0.0000], [0.0000, 0.0000, 0.5000], [0.5000, 0.5000, 0.5000], [0.0000, 0.0000, 0.0000]]}



## b
{"formula": "Ba2SrMgAg", "functional": "PBE", "state": "optimized geometry", "vol_a3_per_cell": 232, "lattice_angstrom": [[6.5549, 0.0000, 0.0000], [0.0000, 6.5549, 0.0000], [0.0000, 0.0000, 5.4028]], "species": ["Ba", "Ba", "Sr", "Mg", "Ag"], "fractional_positions": [[0.0000, 0.5000, 0.0000], [0.5000, 0.0000, 0.0000], [0.0000, 0.0000, 0.5000], [0.5000, 0.5000, 0.5000], [0.5000, 0.5000, 0.0000]]}



The data favor b; the next most stable structure lies 5.8 kJ/mol of atoms above it.



## a
{"formula": "BaMn3Ag", "functional": "PBE", "state": "optimized geometry", "vol_a3_per_cell": 134, "lattice_angstrom": [[5.1208, 0.0000, 0.0000], [0.0000, 5.1208, 0.0000], [0.0000, 0.0000, 5.1208]], "species": ["Ba", "Mn", "Mn", "Mn", "Ag"], "fractional_positions": [[0.0000, 0.0000, 0.0000], [0.0000, 0.5000, 0.5000], [0.5000, 0.0000, 0.5000], [0.5000, 0.5000, 0.0000], [0.5000, 0.5000, 0.5000]]}



## b
{"formula": "BaMn3Ag", "functional": "PBE", "state": "optimized geometry", "vol_a3_per_cell": 152, "lattice_angstrom": [[5.3412, 0.0000, 0.0000], [0.0000, 5.3412, 0.0000], [0.0000, 0.0000, 5.3412]], "species": ["Ba", "Mn", "Mn", "Mn", "Ag"], "fractional_positions": [[0.0000, 0.0000, 0.0000], [0.0000, 0.0000, 0.5000], [0.0000, 0.5000, 0.0000], [0.5000, 0.0000, 0.0000], [0.5000, 0.5000, 0.5000]]}



The data favor a; the next most stable structure lies 120.1 kJ/mol of atoms above it.



## a
{"formula": "BaMnAg3", "functional": "PBE", "state": "optimized geometry", "vol_a3_per_cell": 139, "lattice_angstrom": [[5.1740, 0.0000, 0.0000], [0.0000, 5.1740, 0.0000], [0.0000, 0.0000, 5.1740]], "species": ["Ba", "Mn", "Ag", "Ag", "Ag"], "fractional_positions": [[0.0000, 0.0000, 0.0000], [0.5000, 0.5000, 0.5000], [0.0000, 0.5000, 0.5000], [0.5000, 0.0000, 0.5000], [0.5000, 0.5000, 0.0000]]}



## b
{"formula": "BaMnAg3", "functional": "PBE", "state": "optimized geometry", "vol_a3_per_cell": 204, "lattice_angstrom": [[5.8873, 0.0000, 0.0000], [0.0000, 5.8873, 0.0000], [0.0000, 0.0000, 5.8873]], "species": ["Ba", "Mn", "Ag", "Ag", "Ag"], "fractional_positions": [[0.0000, 0.0000, 0.0000], [0.5000, 0.5000, 0.5000], [0.0000, 0.0000, 0.5000], [0.0000, 0.5000, 0.0000], [0.5000, 0.0000, 0.0000]]}



The data favor a; the next most stable structure lies 166.9 kJ/mol of atoms above it.



## a
{"formula": "BaAgMo3", "functional": "PBE", "state": "optimized geometry", "vol_a3_per_cell": 133, "lattice_angstrom": [[5.1057, 0.0000, 0.0000], [0.0000, 5.1057, 0.0000], [0.0000, 0.0000, 5.1057]], "species": ["Ba", "Ag", "Mo", "Mo", "Mo"], "fractional_positions": [[0.0000, 0.0000, 0.0000], [0.5000, 0.5000, 0.5000], [0.0000, 0.5000, 0.5000], [0.5000, 0.0000, 0.5000], [0.5000, 0.5000, 0.0000]]}



## b
{"formula": "BaAgMo3", "functional": "PBE", "state": "optimized geometry", "vol_a3_per_cell": 121, "lattice_angstrom": [[4.9526, 0.0000, 0.0000], [0.0000, 4.9526, 0.0000], [0.0000, 0.0000, 4.9526]], "species": ["Ba", "Ag", "Mo", "Mo", "Mo"], "fractional_positions": [[0.0000, 0.0000, 0.0000], [0.5000, 0.5000, 0.5000], [0.0000, 0.0000, 0.5000], [0.0000, 0.5000, 0.0000], [0.5000, 0.0000, 0.0000]]}



The data favor a; the next most stable structure lies 89.6 kJ/mol of atoms above it.



## a
{"formula": "BaAg3Mo", "functional": "PBE", "state": "optimized geometry", "vol_a3_per_cell": 151, "lattice_angstrom": [[5.3261, 0.0000, 0.0000], [0.0000, 5.3261, 0.0000], [0.0000, 0.0000, 5.3261]], "species": ["Ba", "Ag", "Ag", "Ag", "Mo"], "fractional_positions": [[0.0000, 0.0000, 0.0000], [0.0000, 0.5000, 0.5000], [0.5000, 0.0000, 0.5000], [0.5000, 0.5000, 0.0000], [0.5000, 0.5000, 0.5000]]}



## b
{"formula": "BaAg3Mo", "functional": "PBE", "state": "optimized geometry", "vol_a3_per_cell": 211, "lattice_angstrom": [[5.9577, 0.0000, 0.0000], [0.0000, 5.9577, 0.0000], [0.0000, 0.0000, 5.9577]], "species": ["Ba", "Ag", "Ag", "Ag", "Mo"], "fractional_positions": [[0.0000, 0.0000, 0.0000], [0.0000, 0.0000, 0.5000], [0.0000, 0.5000, 0.0000], [0.5000, 0.0000, 0.0000], [0.5000, 0.5000, 0.5000]]}



The data favor a; the next most stable structure lies 103.5 kJ/mol of atoms above it.



## a
{"formula": "Ba4Ag2N", "functional": "PBE", "state": "optimized geometry", "vol_a3_per_cell": 578, "lattice_angstrom": [[7.9485, 0.0000, 0.0000], [0.0000, 8.0016, 0.0000], [-2.8627, 0.0000, 9.0927]], "species": ["Ba", "Ba", "Ba", "Ba", "Ba", "Ba", "Ba", "Ba", "Ag", "Ag", "Ag", "Ag", "N", "N"], "fractional_positions": [[0.0244, 0.0122, 0.2495], [0.0244, 0.4878, 0.2495], [0.4105, 0.2500, 0.5752], [0.4251, 0.2500, 0.1328], [0.5749, 0.7500, 0.8672], [0.5895, 0.7500, 0.4248], [0.9756, 0.5122, 0.7505], [0.9756, 0.9878, 0.7505], [0.2174, 0.7500, 0.5540], [0.2491, 0.7500, 0.0619], [0.7509, 0.2500, 0.9381], [0.7826, 0.2500, 0.4460], [0.2391, 0.2500, 0.3061], [0.7609, 0.7500, 0.6939]]}



## b
{"formula": "Ba4Ag2N", "functional": "PBE", "state": "optimized geometry", "vol_a3_per_cell": 266, "lattice_angstrom": [[-2.7992, 2.7992, 8.4964], [2.7992, -2.7992, 8.4964], [2.7992, 2.7992, -8.4964]], "species": ["Ba", "Ba", "Ba", "Ba", "Ag", "Ag", "N"], "fractional_positions": [[0.0000, 0.5000, 0.5000], [0.1638, 0.1638, 0.0000], [0.5000, 0.0000, 0.5000], [0.8362, 0.8362, 0.0000], [0.3675, 0.3675, 0.0000], [0.6325, 0.6325, 0.0000], [0.0000, 0.0000, 0.0000]]}



The data favor a; the next most stable structure lies 2.9 kJ/mol of atoms above it.